Al2HCl8: optimized geometry, PBE-GGA.

Total magnetization = 0.08 μB/atom
Crystal system = monoclinic
Energy = -3.25 eV/atom
Symmetry = C2/m, No. 12

Structure (POSCAR):
```
Al2HCl8
1.0
-5.554 2.151 -3.497
-2.152 -6.791 1.705
-2.458 0.790 6.855
Cl Al H
8 2 1
Cartesian
-5.624 -3.899 5.405
-6.347 -3.009 -1.315
-3.818 -0.840 6.378
-6.729 -2.050 2.618
-6.548 1.975 2.070
-4.541 0.049 -0.342
-3.616 -5.825 2.992
-3.435 -1.799 2.444
-2.849 -0.626 0.752
-7.316 -3.223 4.310
0.000 0.000 0.000
```